Entry 1:
Below is crystalline Zn2RhBr at its relaxed geometry, with properties calculated at the PBE-GGA level.

Calculated density: 7.62 Mg/m³
DOS at the Fermi energy: 0.024 states/eV/atom
Energy relative to the elements, uncorrected: 1.504 eV per formula unit

Cell lengths 4.589, 4.589, 4.589 Å; angles 60.00, 60.00, 60.00 degrees
Element x y z (fractional)
Zn1 0.250 0.250 0.250
Zn2 0.750 0.750 0.750
Rh1 0.500 0.500 0.500
Br1 0.000 0.000 0.000


Entry 2:
Below is crystalline Dy6MgAg at its relaxed geometry, with properties calculated at the PBE-GGA level.

Energy: -31.8 eV per cell
Calculated density: 8.00 Mg/m³
DOS at the Fermi energy: 1.151 states/eV/atom

Cell lengths 8.955, 8.402, 6.140 Å; angles 46.78, 43.17, 57.79 degrees
Element x y z (fractional)
Dy1 0.027 0.450 0.767
Dy2 0.755 0.973 0.721
Dy3 0.550 0.244 0.178
Dy4 0.245 0.027 0.279
Dy5 0.973 0.550 0.233
Dy6 0.450 0.756 0.822
Mg1 0.500 0.500 0.500
Ag1 0.000 0.000 0.000


Entry 3:
Below is crystalline Mn2CdSi at its relaxed geometry, with properties calculated at the PBE-GGA level.

Calculated density: 7.16 Mg/m³
DOS at the Fermi energy: 0.432 states/eV/atom
Energy relative to the elements, uncorrected: 0.765 eV per formula unit

Cell lengths 3.767, 3.927, 3.927 Å; angles 90.00, 90.00, 90.00 degrees
Site moments in Bohr magnetons follow the coordinates.
Element x y z (fractional)
Cd1 0.500 0.000 0.500  -0.04
Mn1 0.000 0.000 0.000  2.75
Mn2 0.000 0.500 0.500  2.75
Si1 0.500 0.500 0.000  -0.11